Here is an optimized crystal structure of LaTm4Al5 from the Alexandria database. Energies are from PBE.

Cell lengths 3.597, 3.597, 18.030 Å; angles 90.00, 90.00, 90.00 degrees
Space group P4/mmm (No. 123)
Asymmetric unit:
La1 0.000 0.000 0.000
Tm1 0.000 0.000 0.211
Tm2 0.000 0.000 0.404
Al1 0.500 0.500 0.116
Al2 0.500 0.500 0.307
Al3 0.500 0.500 0.500

**Energy of formation**: -3.8 eV per formula unit
**E_tot**: -0.1667 Ha/atom
**Total magnetization**: 0.0000 μB/atom

Here is an optimized crystal structure of LaTm2Al3 from the Alexandria database. Energies are from PBE.

Cell lengths 3.613, 3.613, 11.047 Å; angles 90.00, 90.00, 90.00 degrees
Space group P4/mmm (No. 123)
Asymmetric unit:
La1 0.000 0.000 0.000
Tm1 0.000 0.000 0.342
Al1 0.500 0.500 0.189
Al2 0.500 0.500 0.500

**Energy of formation**: -2.3 eV per formula unit
**E_tot**: -0.1677 Ha/atom
**Total magnetization**: 0.0000 μB/atom

Here is an optimized crystal structure of LaTm2Al6 from the Alexandria database. Energies are from PBE.

Cell lengths 4.422, 7.277, 13.286 Å; angles 90.00, 90.00, 90.00 degrees
Space group Immm (No. 71)
Asymmetric unit:
La1 0.000 0.000 0.000
Tm1 0.000 0.500 0.123
Al1 0.000 0.179 0.500
Al2 0.000 0.302 0.313

**Energy of formation**: -2.5 eV per formula unit
**E_tot**: -0.1587 Ha/atom
**Total magnetization**: 0.0000 μB/atom

Here is an optimized crystal structure of La2TmAl from the Alexandria database. Energies are from PBE.

Cell lengths 4.844, 4.844, 4.984 Å; angles 90.00, 90.00, 90.00 degrees
Space group P4/mmm (No. 123)
Asymmetric unit:
La1 0.000 0.500 0.000
Tm1 0.000 0.000 0.500
Al1 0.500 0.500 0.500

**Energy of formation**: -0.6 eV per formula unit
**E_tot**: -0.1719 Ha/atom
**Total magnetization**: 0.0000 μB/atom

Here is an optimized crystal structure of LaTm5Al3 from the Alexandria database. Energies are from PBE.

Cell lengths 9.0510, 9.0510, 6.6138 Å; angles 90.00, 90.00, 120.00 degrees
Space group P6_3/mcm (No. 193)
Asymmetric unit:
La1 0.0000 0.0000 0.0000
Tm1 0.0000 0.3325 0.2500
Tm2 0.3333 0.6667 0.0000
Al1 0.0000 0.3412 0.7500

**Energy of formation**: -2.3 eV per formula unit
**E_tot**: -0.1666 Ha/atom
**Total magnetization**: 0.0003 μB/atom

Here is an optimized crystal structure of La2TmAl from the Alexandria database. Energies are from PBE.

Cell lengths 3.6741, 3.6741, 32.5372 Å; angles 90.00, 90.00, 120.00 degrees
Space group R3m (No. 160, hexagonal axes)
Asymmetric unit:
La1 0.0000 0.0000 0.0000
La2 0.0000 0.0000 0.1841
Tm1 0.0000 0.0000 0.7586
Al1 0.0000 0.0000 0.5921

**Energy of formation**: 0.0 eV per formula unit
**E_tot**: -0.1657 Ha/atom
**Total magnetization**: 0.1681 μB/atom

Here is an optimized crystal structure of La2Tm6Al from the Alexandria database. Energies are from PBE.

Cell lengths 3.504, 10.147, 15.533 Å; angles 90.00, 90.00, 90.00 degrees
Space group Immm (No. 71)
Asymmetric unit:
La1 0.000 0.000 0.143
Tm1 0.000 0.266 0.500
Tm2 0.000 0.342 0.177
Al1 0.000 0.500 0.000

**Energy of formation**: 0.3 eV per formula unit
**E_tot**: -0.1640 Ha/atom
**Total magnetization**: 0.0000 μB/atom

Here is an optimized crystal structure of LaTm2Al from the Alexandria database. Energies are from PBE.

Cell lengths 5.0467, 5.0467, 16.6808 Å; angles 90.00, 90.00, 120.00 degrees
Space group R3m (No. 160, hexagonal axes)
Asymmetric unit:
La1 0.0000 0.0000 0.0000
Tm1 0.0000 0.0000 0.2126
Tm2 0.0000 0.0000 0.4462
Al1 0.0000 0.0000 0.7981

**Energy of formation**: 0.0 eV per formula unit
**E_tot**: -0.1616 Ha/atom
**Total magnetization**: 0.0000 μB/atom

Here is an optimized crystal structure of La2Tm8Al from the Alexandria database. Energies are from PBE.

Cell lengths 18.611, 5.342, 6.726 Å; angles 90.00, 94.03, 90.00 degrees
Space group C2/m (No. 12)
Asymmetric unit:
La1 0.222 0.000 0.166
Tm1 0.034 0.000 0.258
Tm2 0.086 0.500 0.911
Tm3 0.154 0.500 0.403
Tm4 0.157 0.000 0.669
Al1 0.000 0.500 0.500

**Energy of formation**: -0.2 eV per formula unit
**E_tot**: -0.1655 Ha/atom
**Total magnetization**: 0.0000 μB/atom

Here is an optimized crystal structure of La12TmAl3 from the Alexandria database. Energies are from PBE.

Cell lengths 5.014, 5.014, 20.258 Å; angles 90.00, 90.00, 90.00 degrees
Space group P4/mmm (No. 123)
Asymmetric unit:
La1 0.000 0.000 0.000
La2 0.000 0.000 0.244
La3 0.000 0.000 0.500
La4 0.000 0.500 0.122
La5 0.000 0.500 0.367
Tm1 0.500 0.500 0.500
Al1 0.500 0.500 0.000
Al2 0.500 0.500 0.244

**Energy of formation**: -2.0 eV per formula unit
**E_tot**: -0.1765 Ha/atom
**Total magnetization**: 0.0000 μB/atom

Here is an optimized crystal structure of LaTm2Al6 from the Alexandria database. Energies are from PBE.

Cell lengths 7.9789, 7.9789, 3.5087 Å; angles 90.00, 90.00, 120.00 degrees
Space group P6/mmm (No. 191)
Asymmetric unit:
La1 0.0000 0.0000 0.0000
Tm1 0.3333 0.6667 0.0000
Al1 0.0000 0.3375 0.5000

**Energy of formation**: -4.0 eV per formula unit
**E_tot**: -0.1649 Ha/atom
**Total magnetization**: 0.0002 μB/atom

Here is an optimized crystal structure of La2TmAl9 from the Alexandria database. Energies are from PBE.

Cell lengths 5.6736, 5.6736, 26.7026 Å; angles 90.00, 90.00, 120.00 degrees
Space group R-3m (No. 166, hexagonal axes)
Asymmetric unit:
La1 0.0000 0.0000 0.1420
Tm1 0.0000 0.0000 0.0000
Al1 0.0000 0.0000 0.3350
Al2 0.0000 0.0000 0.5000
Al3 0.0067 0.5033 0.9191

**Energy of formation**: -4.0 eV per formula unit
**E_tot**: -0.1591 Ha/atom
**Total magnetization**: 0.0000 μB/atom

Here is an optimized crystal structure of LaTmAlZn from the Alexandria database. Energies are from PBE.

Cell lengths 3.633, 3.633, 7.444 Å; angles 90.00, 90.00, 90.00 degrees
Space group P4mm (No. 99)
Asymmetric unit:
La1 0.000 0.000 0.000
Tm1 0.000 0.000 0.494
Al1 0.500 0.500 0.724
Zn1 0.500 0.500 0.287

**Energy of formation**: -1.4 eV per formula unit
**E_tot**: -0.1456 Ha/atom
**Total magnetization**: 0.0000 μB/atom

Here is an optimized crystal structure of LaTmAlZn from the Alexandria database. Energies are from PBE.

Cell lengths 7.354, 7.354, 7.354 Å; angles 90.00, 90.00, 90.00 degrees
Space group F-43m (No. 216)
Asymmetric unit:
La1 0.000 0.000 0.000
Tm1 0.000 0.000 0.500
Al1 0.250 0.250 0.750
Zn1 0.250 0.250 0.250

**Energy of formation**: -1.4 eV per formula unit
**E_tot**: -0.1448 Ha/atom
**Total magnetization**: 0.0000 μB/atom

Here is an optimized crystal structure of LaTmAl2Zn2 from the Alexandria database. Energies are from PBE.

Cell lengths 4.5139, 4.5139, 7.4990 Å; angles 90.00, 90.00, 120.00 degrees
Space group P-3m1 (No. 164)
Asymmetric unit:
La1 0.0000 0.0000 0.0000
Tm1 0.0000 0.0000 0.5000
Al1 0.3333 0.6667 0.7201
Zn1 0.3333 0.6667 0.2918

**Energy of formation**: -2.7 eV per formula unit
**E_tot**: -0.1356 Ha/atom
**Total magnetization**: 0.0001 μB/atom

Here is an optimized crystal structure of LaUAl from the Alexandria database. Energies are from PBE.

Cell lengths 12.188, 3.768, 6.810 Å; angles 90.00, 90.00, 90.00 degrees
Space group Pnma (No. 62)
Asymmetric unit:
La1 0.236 0.250 0.158
U1 0.057 0.750 0.938
Al1 0.030 0.750 0.374

**Energy of formation**: 0.3 eV per formula unit
**E_tot**: -0.2403 Ha/atom
**Total magnetization**: 0.0001 μB/atom

Here is an optimized crystal structure of La3UAl8 from the Alexandria database. Energies are from PBE.

Cell lengths 5.6845, 5.6845, 27.9700 Å; angles 90.00, 90.00, 120.00 degrees
Space group R3m (No. 160, hexagonal axes)
Asymmetric unit:
La1 0.0000 0.0000 0.0000
La2 0.0000 0.0000 0.1268
La3 0.0000 0.0000 0.6230
U1 0.0000 0.0000 0.5002
Al1 0.0000 0.0000 0.3128
Al2 0.0000 0.0000 0.8131
Al3 0.0004 0.5002 0.5613
Al4 0.0028 0.5014 0.0641

**Energy of formation**: -4.3 eV per formula unit
**E_tot**: -0.1848 Ha/atom
**Total magnetization**: 0.2742 μB/atom

Here is an optimized crystal structure of LaUAl4 from the Alexandria database. Energies are from PBE.

Cell lengths 7.947, 7.947, 7.947 Å; angles 90.00, 90.00, 90.00 degrees
Space group F-43m (No. 216)
Asymmetric unit:
La1 0.000 0.000 0.000
U1 0.250 0.250 0.250
Al1 0.124 0.124 0.624

**Energy of formation**: -1.3 eV per formula unit
**E_tot**: -0.1992 Ha/atom
**Total magnetization**: 0.5110 μB/atom

Here is an optimized crystal structure of LaAl2V from the Alexandria database. Energies are from PBE.

Cell lengths 6.973, 6.973, 6.973 Å; angles 90.00, 90.00, 90.00 degrees
Space group Fm-3m (No. 225)
Asymmetric unit:
La1 0.000 0.000 0.000
Al1 0.250 0.250 0.250
V1 0.000 0.000 0.500

**Energy of formation**: 0.0 eV per formula unit
**E_tot**: -0.1981 Ha/atom
**Total magnetization**: 0.7329 μB/atom

Here is an optimized crystal structure of La3AlV from the Alexandria database. Energies are from PBE.

Cell lengths 5.354, 5.354, 5.354 Å; angles 90.00, 90.00, 90.00 degrees
Space group Pm-3m (No. 221)
Asymmetric unit:
La1 0.000 0.000 0.500
Al1 0.500 0.500 0.500
V1 0.000 0.000 0.000

**Energy of formation**: 1.6 eV per formula unit
**E_tot**: -0.1913 Ha/atom
**Total magnetization**: 0.1619 μB/atom